## MnRuO2 (PBE+U)

Data for a relaxed MnRuO2 crystal.

Summary:
- mass density (g/cm³) = 7.48
- excess energy over the best structure of this formula in the dataset (kJ/mol of formula units) = 237.9
- crystal system = cubic

Cell: 3.8944 3.8944 3.8944 Å, 60.00 60.00 60.00°
Closest atoms and distances in Å follow each position.
Element x y z (fractional)
1 Mn 0.0000 0.0000 0.0000  8 O 2.38
2 Ru 0.5000 0.5000 0.5000  8 O 2.38
3 O 0.2500 0.2500 0.2500  4 Ru 2.38, 4 Mn 2.38
4 O 0.7500 0.7500 0.7500  4 Mn 2.38, 4 Ru 2.38